Tl4Ni7P6O24 GGA-PBEsol optimized geometry; crystal system = monoclinic; E_form (uncorrected) = -34.35 kcal/mol of atoms
1.0
5.324 -7.079 0.000
5.324 7.079 0.000
-1.541 0.000 6.452
Tl Ni P O
4 7 6 24
Direct
0.000 0.000 0.000 Tl
0.176 0.403 0.944 Tl
0.403 0.176 0.944 Tl
0.605 0.605 0.966 Tl
0.271 0.879 0.293 Ni
0.288 0.527 0.464 Ni
0.527 0.288 0.464 Ni
0.548 0.929 0.648 Ni
0.879 0.271 0.293 Ni
0.911 0.911 0.477 Ni
0.929 0.548 0.648 Ni
0.010 0.626 0.202 P
0.194 0.793 0.742 P
0.211 0.211 0.470 P
0.606 0.606 0.463 P
0.626 0.010 0.202 P
0.793 0.194 0.742 P
0.015 0.790 0.673 O
0.024 0.807 0.276 O
0.104 0.104 0.586 O
0.120 0.303 0.337 O
0.180 0.610 0.687 O
0.194 0.634 0.250 O
0.250 0.865 0.972 O
0.303 0.120 0.337 O
0.307 0.889 0.612 O
0.350 0.350 0.617 O
0.472 0.472 0.302 O
0.510 0.691 0.598 O
0.511 0.917 0.330 O
0.577 0.939 0.971 O
0.610 0.180 0.687 O
0.634 0.194 0.250 O
0.691 0.510 0.598 O
0.721 0.721 0.366 O
0.790 0.015 0.673 O
0.807 0.024 0.276 O
0.865 0.250 0.972 O
0.889 0.307 0.612 O
0.917 0.511 0.330 O
0.939 0.577 0.971 O

Mg7FeSi4O16 GGA-PBEsol optimized geometry; crystal system = triclinic; E_form (uncorrected) = -62.15 kcal/mol of atoms
1.0
4.779 0.000 0.000
-0.014 5.984 0.000
-0.004 -0.009 10.240
Mg Fe Si O
7 1 4 16
Direct
0.000 0.000 0.000 Mg
0.000 0.500 0.000 Mg
0.010 0.249 0.724 Mg
0.492 0.251 0.222 Mg
0.500 0.000 0.500 Mg
0.508 0.749 0.778 Mg
0.990 0.751 0.276 Mg
0.500 0.500 0.500 Fe
0.072 0.751 0.595 Si
0.427 0.750 0.094 Si
0.573 0.250 0.906 Si
0.928 0.249 0.405 Si
0.213 0.752 0.446 O
0.218 0.534 0.667 O
0.226 0.969 0.664 O
0.233 0.250 0.909 O
0.269 0.248 0.406 O
0.276 0.968 0.163 O
0.277 0.532 0.163 O
0.278 0.751 0.946 O
0.722 0.249 0.054 O
0.723 0.468 0.837 O
0.724 0.032 0.837 O
0.731 0.752 0.594 O
0.767 0.750 0.091 O
0.774 0.031 0.336 O
0.782 0.466 0.333 O
0.787 0.248 0.554 O

Ti4P3 GGA-PBEsol optimized geometry; crystal system = cubic; energy of formation from the pure elements = -1.231 eV per atom
1.0
-3.670 3.670 3.670
3.670 -3.670 3.670
3.670 3.670 -3.670
Ti P
8 6
Direct
0.000 0.360 0.500 Ti
0.000 0.860 0.500 Ti
0.140 0.140 0.140 Ti
0.360 0.500 0.000 Ti
0.500 0.000 0.360 Ti
0.500 0.000 0.860 Ti
0.640 0.640 0.640 Ti
0.860 0.500 0.000 Ti
0.125 0.750 0.875 P
0.250 0.625 0.375 P
0.375 0.250 0.625 P
0.625 0.375 0.250 P
0.750 0.875 0.125 P
0.875 0.125 0.750 P

LiNiPb GGA-PBEsol optimized geometry; crystal system = tetragonal; energy of formation from the pure elements = -0.051 eV per atom
1.0
3.353 0.000 0.000
0.000 3.353 0.000
0.000 0.000 8.330
Li Ni Pb
2 2 2
Direct
0.000 0.000 0.000 Li
0.500 0.500 0.500 Li
0.000 0.000 0.653 Ni
0.500 0.500 0.153 Ni
0.000 0.000 0.319 Pb
0.500 0.500 0.819 Pb

NiIrPt2 GGA-PBEsol optimized geometry; crystal system = orthorhombic; energy of formation from the pure elements = -0.001 eV per atom; E above lowest polymorph = 0.0 meV/atom
1.0
5.363 0.000 0.000
0.000 7.618 0.000
0.000 0.000 2.701
Ni Ir Pt
2 2 4
Direct
0.000 0.000 0.000 Ni
0.500 0.500 0.000 Ni
0.000 0.500 0.000 Ir
0.500 0.000 0.000 Ir
0.250 0.250 0.500 Pt
0.250 0.750 0.500 Pt
0.750 0.250 0.500 Pt
0.750 0.750 0.500 Pt

Cu2Mo GGA-PBEsol optimized geometry; crystal system = tetragonal; energy of formation from the pure elements = 0.862 eV per atom
1.0
4.505 0.000 0.000
0.000 4.505 0.000
0.000 0.000 2.468
Cu Mo
2 1
Direct
0.000 0.500 0.000 Cu
0.500 0.000 0.000 Cu
0.000 0.000 0.500 Mo

HfMo2Rh GGA-PBEsol optimized geometry; crystal system = cubic; energy of formation from the pure elements = 0.114 eV per atom
1.0
6.322 0.000 0.000
0.000 6.322 0.000
0.000 0.000 6.322
Hf Mo Rh
4 8 4
Direct
0.000 0.000 0.000 Hf
0.000 0.500 0.500 Hf
0.500 0.000 0.500 Hf
0.500 0.500 0.000 Hf
0.250 0.250 0.250 Mo
0.250 0.250 0.750 Mo
0.250 0.750 0.250 Mo
0.250 0.750 0.750 Mo
0.750 0.250 0.250 Mo
0.750 0.250 0.750 Mo
0.750 0.750 0.250 Mo
0.750 0.750 0.750 Mo
0.000 0.000 0.500 Rh
0.000 0.500 0.000 Rh
0.500 0.000 0.000 Rh
0.500 0.500 0.500 Rh

Y2HgOs GGA-PBEsol optimized geometry; crystal system = tetragonal; energy of formation from the pure elements = -0.406 eV per atom
1.0
3.416 0.000 0.000
0.000 3.416 0.000
0.000 0.000 7.493
Y Hg Os
2 1 1
Direct
0.000 0.000 0.218 Y
0.000 0.000 0.782 Y
0.500 0.500 0.500 Hg
0.500 0.500 0.000 Os

CrCdPCl2 GGA-PBEsol optimized geometry; crystal system = tetragonal; E_form (uncorrected) = -3.03 kcal/mol of atoms; E above lowest polymorph = 0.0 meV/atom
1.0
4.598 0.000 0.000
0.000 4.598 0.000
0.000 0.000 4.823
Cr Cd P Cl
1 1 1 2
Direct
0.000 0.000 0.000 Cr
0.500 0.500 0.500 Cd
0.000 0.000 0.500 P
0.000 0.500 0.000 Cl
0.500 0.000 0.000 Cl

ZrBe3 GGA-PBEsol optimized geometry; crystal system = cubic; energy of formation from the pure elements = 0.014 eV per atom; E above lowest polymorph = 178.0 meV/atom
1.0
5.711 0.000 0.000
0.000 5.711 0.000
0.000 0.000 5.711
Zr Be
4 12
Direct
0.000 0.000 0.000 Zr
0.000 0.500 0.500 Zr
0.500 0.000 0.500 Zr
0.500 0.500 0.000 Zr
0.000 0.000 0.500 Be
0.000 0.500 0.000 Be
0.250 0.250 0.250 Be
0.250 0.250 0.750 Be
0.250 0.750 0.250 Be
0.250 0.750 0.750 Be
0.500 0.000 0.000 Be
0.500 0.500 0.500 Be
0.750 0.250 0.250 Be
0.750 0.250 0.750 Be
0.750 0.750 0.250 Be
0.750 0.750 0.750 Be

MoC2 GGA-PBEsol optimized geometry; crystal system = tetragonal; energy of formation from the pure elements = 0.729 eV per atom; E above lowest polymorph = 0.0 meV/atom
1.0
2.864 0.000 0.000
0.000 2.864 0.000
0.000 0.000 6.333
Mo C
2 4
Direct
0.250 0.250 0.237 Mo
0.750 0.750 0.763 Mo
0.250 0.250 0.884 C
0.250 0.750 0.500 C
0.750 0.250 0.500 C
0.750 0.750 0.116 C

YFe3Pt GGA-PBEsol optimized geometry; crystal system = cubic; energy of formation from the pure elements = 1.866 eV per atom
1.0
4.409 0.000 0.000
0.000 4.409 0.000
0.000 0.000 4.409
Y Fe Pt
1 3 1
Direct
0.000 0.000 0.000 Y
0.000 0.000 0.500 Fe
0.000 0.500 0.000 Fe
0.500 0.000 0.000 Fe
0.500 0.500 0.500 Pt

NaMn2TlPb GGA-PBEsol optimized geometry; crystal system = tetragonal; energy of formation from the pure elements = 1.018 eV per atom
1.0
5.154 0.000 0.000
0.000 5.154 0.000
0.000 0.000 5.947
Na Mn Tl Pb
1 2 1 1
Direct
0.000 0.000 0.000 Na
0.000 0.500 0.500 Mn
0.500 0.000 0.500 Mn
0.500 0.500 0.000 Tl
0.500 0.500 0.500 Pb

HfMgSi2 GGA-PBEsol optimized geometry; crystal system = tetragonal; E_form (uncorrected) = 2.54 kcal/mol of atoms
1.0
7.135 0.000 0.000
0.000 7.135 0.000
0.000 0.000 5.753
Hf Mg Si
4 4 8
Direct
0.000 0.000 0.000 Hf
0.000 0.500 0.250 Hf
0.500 0.000 0.750 Hf
0.500 0.500 0.500 Hf
0.000 0.000 0.500 Mg
0.000 0.500 0.750 Mg
0.500 0.000 0.250 Mg
0.500 0.500 0.000 Mg
0.242 0.250 0.625 Si
0.250 0.742 0.875 Si
0.250 0.758 0.375 Si
0.258 0.250 0.125 Si
0.742 0.750 0.125 Si
0.750 0.242 0.375 Si
0.750 0.258 0.875 Si
0.758 0.750 0.625 Si

Zr2InSb GGA-PBEsol optimized geometry; crystal system = tetragonal; E_form (uncorrected) = -3.20 kcal/mol of atoms; E above lowest polymorph = 268.4 meV/atom
1.0
3.150 0.000 0.000
0.000 3.150 0.000
0.000 0.000 9.505
Zr In Sb
2 1 1
Direct
0.000 0.000 0.000 Zr
0.500 0.500 0.236 Zr
0.000 0.000 0.469 In
0.500 0.500 0.768 Sb

MnTc2Rh GGA-PBEsol optimized geometry; crystal system = tetragonal; energy of formation from the pure elements = 0.002 eV per atom
1.0
3.711 0.000 0.000
0.000 3.711 0.000
0.000 0.000 7.590
Mn Tc Rh
2 4 2
Direct
0.000 0.000 0.000 Mn
0.500 0.500 0.500 Mn
0.000 0.500 0.250 Tc
0.000 0.500 0.750 Tc
0.500 0.000 0.250 Tc
0.500 0.000 0.750 Tc
0.000 0.000 0.500 Rh
0.500 0.500 0.000 Rh

ZrCrAs3 GGA-PBEsol optimized geometry; crystal system = cubic; energy of formation from the pure elements = 0.280 eV per atom
1.0
4.604 0.000 0.000
0.000 4.604 0.000
0.000 0.000 4.604
Zr Cr As
1 1 3
Direct
0.000 0.000 0.000 Zr
0.500 0.500 0.500 Cr
0.000 0.500 0.500 As
0.500 0.000 0.500 As
0.500 0.500 0.000 As

LaAg4Au GGA-PBEsol optimized geometry; crystal system = cubic; energy of formation from the pure elements = -0.268 eV per atom
1.0
0.000 3.872 3.872
3.872 0.000 3.872
3.872 3.872 0.000
La Ag Au
1 4 1
Direct
0.000 0.000 0.000 La
0.376 0.376 0.376 Ag
0.376 0.376 0.873 Ag
0.376 0.873 0.376 Ag
0.873 0.376 0.376 Ag
0.750 0.750 0.750 Au

KTaAg2 GGA-PBEsol optimized geometry; crystal system = cubic; energy of formation from the pure elements = 1.191 eV per atom; E above lowest polymorph = 568.5 meV/atom
1.0
6.718 0.000 0.000
0.000 6.718 0.000
0.000 0.000 6.718
K Ta Ag
4 4 8
Direct
0.000 0.000 0.000 K
0.000 0.500 0.500 K
0.500 0.000 0.500 K
0.500 0.500 0.000 K
0.250 0.250 0.250 Ta
0.250 0.750 0.750 Ta
0.750 0.250 0.750 Ta
0.750 0.750 0.250 Ta
0.000 0.000 0.500 Ag
0.000 0.500 0.000 Ag
0.250 0.250 0.750 Ag
0.250 0.750 0.250 Ag
0.500 0.000 0.000 Ag
0.500 0.500 0.500 Ag
0.750 0.250 0.250 Ag
0.750 0.750 0.750 Ag

Li4Ti3V2Cu3O16 GGA-PBEsol optimized geometry; crystal system = monoclinic; E_form (uncorrected) = -48.71 kcal/mol of atoms
1.0
5.016 -2.920 0.000
5.016 2.920 0.000
-0.058 0.000 9.555
Li Ti V Cu O
4 3 2 3 16
Direct
0.000 0.000 0.000 Li
0.004 0.004 0.509 Li
0.321 0.321 0.589 Li
0.661 0.661 0.089 Li
0.151 0.650 0.273 Ti
0.650 0.151 0.273 Ti
0.816 0.816 0.760 Ti
0.335 0.335 0.994 V
0.634 0.634 0.506 V
0.168 0.168 0.285 Cu
0.336 0.823 0.790 Cu
0.823 0.336 0.790 Cu
0.001 0.001 0.190 O
0.033 0.499 0.146 O
0.170 0.649 0.907 O
0.180 0.180 0.924 O
0.334 0.334 0.388 O
0.346 0.815 0.405 O
0.480 0.480 0.160 O
0.499 0.033 0.146 O
0.511 0.511 0.627 O
0.521 0.959 0.646 O
0.649 0.170 0.907 O
0.665 0.665 0.886 O
0.815 0.346 0.405 O
0.833 0.833 0.393 O
0.959 0.521 0.646 O
0.998 0.998 0.702 O

Li2CoAg GGA-PBEsol optimized geometry; crystal system = trigonal; energy of formation from the pure elements = 0.199 eV per atom
1.0
2.693 0.000 0.000
-1.346 2.332 0.000
0.000 0.000 27.493
Li Co Ag
6 3 3
Direct
0.000 0.000 0.000 Li
0.000 0.000 0.237 Li
0.333 0.667 0.667 Li
0.333 0.667 0.904 Li
0.667 0.333 0.333 Li
0.667 0.333 0.571 Li
0.000 0.000 0.496 Co
0.333 0.667 0.162 Co
0.667 0.333 0.829 Co
0.000 0.000 0.748 Ag
0.333 0.667 0.415 Ag
0.667 0.333 0.081 Ag

LiCrOs2 GGA-PBEsol optimized geometry; crystal system = tetragonal; energy of formation from the pure elements = 0.267 eV per atom; E above lowest polymorph = 83.3 meV/atom
1.0
2.916 0.000 0.000
0.000 2.916 0.000
0.000 0.000 5.690
Li Cr Os
1 1 2
Direct
0.000 0.000 0.000 Li
0.000 0.000 0.500 Cr
0.500 0.500 0.243 Os
0.500 0.500 0.757 Os

Cd2NiTeO GGA-PBEsol optimized geometry; crystal system = tetragonal; E_form (uncorrected) = -3.81 kcal/mol of atoms
1.0
4.877 0.000 0.000
0.000 4.877 0.000
0.000 0.000 3.746
Cd Ni Te O
2 1 1 1
Direct
0.000 0.500 0.000 Cd
0.500 0.000 0.000 Cd
0.000 0.000 0.500 Ni
0.500 0.500 0.500 Te
0.000 0.000 0.000 O

Sr2MnSe GGA-PBEsol optimized geometry; crystal system = tetragonal; E_form (uncorrected) = -4.37 kcal/mol of atoms
1.0
3.697 0.000 0.000
0.000 3.697 0.000
0.000 0.000 8.817
Sr Mn Se
2 1 1
Direct
0.000 0.000 0.000 Sr
0.500 0.500 0.406 Sr
0.000 0.000 0.644 Mn
0.500 0.500 0.782 Se